1.
# CsBaTlCd | the Alexandria database | PBE-GGA | optimized geometry
data_CsBaTlCd
_chemical_formula_sum 'Cs4 Ba4 Tl4 Cd4'
_cell_length_a 8.830
_cell_length_b 8.830
_cell_length_c 8.830
_cell_angle_alpha 90.00
_cell_angle_beta 90.00
_cell_angle_gamma 90.00
_symmetry_space_group_name_H-M 'F -4 3 m'
_symmetry_Int_Tables_number 216
_symmetry_space_group_name_Hall 'F -4 2 3'
loop_
_atom_site_label
_atom_site_fract_x
_atom_site_fract_y
_atom_site_fract_z
_atom_site_occupancy
Cs1 0.000 0.000 0.000 1
Ba1 0.000 0.000 0.500 1
Tl1 0.250 0.250 0.250 1
Cd1 0.250 0.250 0.750 1
# Formation enthalpy at 0 K ... -0.08 eV/atom
# Energy ... -1.5924 eV/atom

---

2.
# Li2Al2Pd | the Alexandria database | PBE-GGA | optimized geometry
data_Li2Al2Pd
_chemical_formula_sum 'Li4 Al4 Pd2'
_cell_length_a 6.728
_cell_length_b 6.728
_cell_length_c 3.405
_cell_angle_alpha 90.00
_cell_angle_beta 90.00
_cell_angle_gamma 90.00
_symmetry_space_group_name_H-M 'P 4/m b m'
_symmetry_Int_Tables_number 127
_symmetry_space_group_name_Hall '-P 4 2ab'
loop_
_atom_site_label
_atom_site_fract_x
_atom_site_fract_y
_atom_site_fract_z
_atom_site_occupancy
Li1 0.160 0.340 0.000 1
Al1 0.143 0.643 0.500 1
Pd1 0.000 0.000 0.500 1
# Formation enthalpy at 0 K ... -0.25 eV/atom
# Energy ... -3.5555 eV/atom
# Energy relative to the lowest polymorph listed for this composition ... 228 meV/atom

---

3.
# HoMg2Tl2Ag2 | the Alexandria database | PBE-GGA | optimized geometry
data_HoMg2Tl2Ag2
_chemical_formula_sum 'Ho3 Mg6 Tl6 Ag6'
_cell_length_a 4.8935
_cell_length_b 4.8935
_cell_length_c 23.8050
_cell_angle_alpha 90.00
_cell_angle_beta 90.00
_cell_angle_gamma 120.00
_symmetry_space_group_name_H-M 'R -3 m'
_symmetry_Int_Tables_number 166
_symmetry_space_group_name_Hall '-R 3 2"'
loop_
_atom_site_label
_atom_site_fract_x
_atom_site_fract_y
_atom_site_fract_z
_atom_site_occupancy
Ho1 0.0000 0.0000 0.0000 1
Mg1 0.0000 0.0000 0.1336 1
Tl1 0.0000 0.0000 0.3952 1
Ag1 0.0000 0.0000 0.2516 1
# Formation enthalpy at 0 K ... -0.14 eV/atom
# Energy ... -2.7357 eV/atom

---

4.
# SiAg2Pt | the Alexandria database | PBE-GGA | optimized geometry
data_SiAg2Pt
_chemical_formula_sum 'Si2 Ag4 Pt2'
_cell_length_a 9.260
_cell_length_b 3.059
_cell_length_c 4.982
_cell_angle_alpha 90.00
_cell_angle_beta 110.46
_cell_angle_gamma 90.00
_symmetry_space_group_name_H-M 'C 1 m 1'
_symmetry_Int_Tables_number 8
loop_
_symmetry_equiv_pos_as_xyz
'x,y,z'
'x,-y,z'
'x+1/2,y+1/2,z'
'x+1/2,-y+1/2,z'
loop_
_atom_site_label
_atom_site_fract_x
_atom_site_fract_y
_atom_site_fract_z
_atom_site_occupancy
Si1 0.000 0.000 0.000 1
Ag1 0.227 0.500 0.343 1
Ag2 0.499 0.000 0.559 1
Pt1 0.287 0.000 0.901 1
# Energy ... -4.3566 eV/atom

---

5.
# Pu2TiReN6 | the Alexandria database | PBE-GGA | optimized geometry
data_Pu2TiReN6
_chemical_formula_sum 'Pu4 Ti2 Re2 N12'
_cell_length_a 5.353
_cell_length_b 5.695
_cell_length_c 9.346
_cell_angle_alpha 90.00
_cell_angle_beta 124.60
_cell_angle_gamma 90.00
_symmetry_space_group_name_H-M 'P 1 21/c 1'
_symmetry_Int_Tables_number 14
loop_
_symmetry_equiv_pos_as_xyz
'x,y,z'
'-x,-y,-z'
'-x,y+1/2,-z+1/2'
'x,-y+1/2,z+1/2'
loop_
_atom_site_label
_atom_site_fract_x
_atom_site_fract_y
_atom_site_fract_z
_atom_site_occupancy
Pu1 0.230 0.071 0.246 1
Ti1 0.000 0.000 0.500 1
Re1 0.500 0.000 0.000 1
N1 0.137 0.190 0.948 1
N2 0.258 0.698 0.943 1
N3 0.356 0.037 0.751 1
# Energy ... -10.7502 eV/atom

---

6.
# Th3ScSi4 | the Alexandria database | PBE-GGA | optimized geometry
data_Th3ScSi4
_chemical_formula_sum 'Th6 Sc2 Si8'
_cell_length_a 4.255
_cell_length_b 6.135
_cell_length_c 15.446
_cell_angle_alpha 90.00
_cell_angle_beta 90.00
_cell_angle_gamma 90.00
_symmetry_space_group_name_H-M 'I m m m'
_symmetry_Int_Tables_number 71
_symmetry_space_group_name_Hall '-I 2 2'
loop_
_atom_site_label
_atom_site_fract_x
_atom_site_fract_y
_atom_site_fract_z
_atom_site_occupancy
Th1 0.000 0.000 0.000 1
Th2 0.000 0.500 0.193 1
Sc1 0.000 0.000 0.500 1
Si1 0.000 0.303 0.374 1
# Energy ... -6.8942 eV/atom

---

7.
# Li2SmInSn2 | the Alexandria database | PBE-GGA | optimized geometry
data_Li2SmInSn2
_chemical_formula_sum 'Li4 Sm2 In2 Sn4'
_cell_length_a 4.497
_cell_length_b 8.673
_cell_length_c 7.635
_cell_angle_alpha 90.00
_cell_angle_beta 90.00
_cell_angle_gamma 90.00
_symmetry_space_group_name_H-M 'P m c 21'
_symmetry_Int_Tables_number 26
loop_
_symmetry_equiv_pos_as_xyz
'x,y,z'
'-x,-y,z+1/2'
'-x,y,z'
'x,-y,z+1/2'
loop_
_atom_site_label
_atom_site_fract_x
_atom_site_fract_y
_atom_site_fract_z
_atom_site_occupancy
Li1 0.000 0.078 0.000 1
Li2 0.500 0.188 0.330 1
Sm1 0.500 0.430 0.928 1
In1 0.000 0.302 0.601 1
Sn1 0.000 0.364 0.215 1
Sn2 0.500 0.114 0.714 1
# Formation enthalpy at 0 K ... -0.44 eV/atom
# Energy ... -3.6507 eV/atom

---

8.
# KLi3Zr2Si12O30 | the Alexandria database | PBE-GGA | optimized geometry
data_KLi3Zr2Si12O30
_chemical_formula_sum 'K2 Li6 Zr4 Si24 O60'
_cell_length_a 10.2504
_cell_length_b 10.2504
_cell_length_c 14.5651
_cell_angle_alpha 90.00
_cell_angle_beta 90.00
_cell_angle_gamma 120.00
_symmetry_space_group_name_H-M 'P 6/m c c'
_symmetry_Int_Tables_number 192
_symmetry_space_group_name_Hall '-P 6 2c'
loop_
_atom_site_label
_atom_site_fract_x
_atom_site_fract_y
_atom_site_fract_z
_atom_site_occupancy
K1 0.0000 0.0000 0.2500 1
Li1 0.0000 0.5000 0.2500 1
Zr1 0.3333 0.6667 0.2500 1
Si1 0.1126 0.3517 0.1083 1
O1 0.0594 0.2769 0.3676 1
O2 0.1268 0.3957 0.0000 1
O3 0.1564 0.4968 0.1721 1
# Energy ... -7.7758 eV/atom

---

The lowest energy belongs to which entry? Pu2TiReN6